No. 1
Entry from Alexandria via LeMat-Bulk: a relaxed structure of Mg2ZnAu2 (PBE).

```
data_Mg2ZnAu2
_space_group_name_H-M_alt 'I b a m'
_space_group_IT_number 72
_space_group_name_Hall '-I 2 2c'
_cell_length_a 6.986
_cell_length_b 10.839
_cell_length_c 5.131
_cell_angle_alpha 90.00
_cell_angle_beta 90.00
_cell_angle_gamma 90.00
loop_
_atom_site_label
_atom_site_type_symbol
_atom_site_fract_x
_atom_site_fract_y
_atom_site_fract_z
Mg1 Mg 0.167 0.187 0.000
Zn1 Zn 0.000 0.500 0.250
Au1 Au 0.186 0.081 0.500
```

The total energy is -13.01 eV per formula unit.

No. 2
Entry from Alexandria via LeMat-Bulk: a relaxed structure of TlAsAu3 (PBE).

```
data_TlAsAu3
_space_group_name_H-M_alt 'P m -3 m'
_space_group_IT_number 221
_space_group_name_Hall '-P 4 2 3'
_cell_length_a 5.048
_cell_length_b 5.048
_cell_length_c 5.048
_cell_angle_alpha 90.00
_cell_angle_beta 90.00
_cell_angle_gamma 90.00
loop_
_atom_site_label
_atom_site_type_symbol
_atom_site_fract_x
_atom_site_fract_y
_atom_site_fract_z
Tl1 Tl 0.000 0.000 0.000
As1 As 0.500 0.500 0.500
Au1 Au 0.000 0.500 0.500
```

The total energy is -16.28 eV per formula unit.

No. 3
Entry from Alexandria via LeMat-Bulk: a relaxed structure of BeGeSbW (PBE).

```
data_BeGeSbW
_space_group_name_H-M_alt 'C 1 m 1'
_space_group_IT_number 8
_space_group_name_Hall 'C -2y'
_cell_length_a 8.715
_cell_length_b 3.517
_cell_length_c 6.009
_cell_angle_alpha 90.00
_cell_angle_beta 126.96
_cell_angle_gamma 90.00
loop_
_atom_site_label
_atom_site_type_symbol
_atom_site_fract_x
_atom_site_fract_y
_atom_site_fract_z
Be1 Be 0.000 0.000 0.000
Ge1 Ge 0.306 0.000 0.742
Sb1 Sb 0.365 0.000 0.311
W1 W 0.158 0.500 0.881
```

Its formation energy (no corrections) is 1.1 eV per formula unit.

For each record above, in turn, the calculated magnetic moment values are 0.0; 0.0; 0.0 μB/f.u..